Record 1
An optimized crystal structure of CdB3H12. Source: Alexandria, functional GGA-PBE.

Geometry as CIF:
```
data_CdB3H12
_chemical_formula_sum 'Cd6 B18 H72'
_symmetry_space_group_name_H-M 'R 3 c'
_symmetry_Int_Tables_number 161
_symmetry_space_group_name_Hall 'R 3 -2"c'
_cell_length_a 7.1549
_cell_length_b 7.1549
_cell_length_c 19.2194
_cell_angle_alpha 90.00
_cell_angle_beta 90.00
_cell_angle_gamma 120.00
loop_
_atom_site_label
_atom_site_fract_x
_atom_site_fract_y
_atom_site_fract_z
Cd1 0.0000 0.0000 0.0000
B1 0.0063 0.3799 0.2667
H1 0.0469 0.4933 0.3190
H2 0.0553 0.5260 0.2221
H3 0.0593 0.4864 0.9400
H4 0.0762 0.2335 0.9108
```

Size of the total moment   0.000 μB per formula unit
Raw total energy   -3.69 eV/atom
V   852.08 Å³ per cell

=====

Record 2
An optimized crystal structure of CdBH2. Source: Alexandria, functional GGA-PBE.

Geometry as CIF:
```
data_CdBH2
_chemical_formula_sum 'Cd4 B4 H8'
_symmetry_space_group_name_H-M 'I 41/a m d'
_symmetry_Int_Tables_number 141
_cell_length_a 4.995
_cell_length_b 4.995
_cell_length_c 6.607
_cell_angle_alpha 90.00
_cell_angle_beta 90.00
_cell_angle_gamma 90.00
loop_
_symmetry_equiv_pos_as_xyz
'x,y,z'
'-x,-y,-z'
'-y+1/4,x+3/4,z+1/4'
'y+1/4,-x+3/4,-z+1/4'
'-x+1/2,-y,z+1/2'
'x+1/2,y,-z+1/2'
'y+1/4,-x+1/4,z+3/4'
'-y+1/4,x+1/4,-z+3/4'
'x,-y,-z'
'-x,y,z'
'-y+1/4,-x+1/4,-z+3/4'
'y+1/4,x+1/4,z+3/4'
'-x+1/2,y,-z+1/2'
'x+1/2,-y,z+1/2'
'y+1/4,x+3/4,-z+1/4'
'-y+1/4,-x+3/4,z+1/4'
'x+1/2,y+1/2,z+1/2'
'-x+1/2,-y+1/2,-z+1/2'
'-y+3/4,x+1/4,z+3/4'
'y+3/4,-x+1/4,-z+3/4'
'-x,-y+1/2,z'
'x,y+1/2,-z'
'y+3/4,-x+3/4,z+1/4'
'-y+3/4,x+3/4,-z+1/4'
'x+1/2,-y+1/2,-z+1/2'
'-x+1/2,y+1/2,z+1/2'
'-y+3/4,-x+3/4,-z+1/4'
'y+3/4,x+3/4,z+1/4'
'-x,y+1/2,-z'
'x,-y+1/2,z'
'y+3/4,x+1/4,-z+3/4'
'-y+3/4,-x+1/4,z+3/4'
loop_
_atom_site_label
_atom_site_fract_x
_atom_site_fract_y
_atom_site_fract_z
Cd1 0.000 0.250 0.375
B1 0.000 0.250 0.875
H1 0.000 0.000 0.000
```

Size of the total moment   0.000 μB per formula unit
Raw total energy   -2.83 eV/atom
V   164.81 Å³ per cell

=====

Record 3
An optimized crystal structure of Cd2BH. Source: Alexandria, functional GGA-PBE.

Geometry as CIF:
```
data_Cd2BH
_chemical_formula_sum 'Cd8 B4 H4'
_symmetry_space_group_name_H-M 'I -4 2 d'
_symmetry_Int_Tables_number 122
_symmetry_space_group_name_Hall 'I -4 2bw'
_cell_length_a 5.016
_cell_length_b 5.016
_cell_length_c 10.662
_cell_angle_alpha 90.00
_cell_angle_beta 90.00
_cell_angle_gamma 90.00
loop_
_atom_site_label
_atom_site_fract_x
_atom_site_fract_y
_atom_site_fract_z
Cd1 0.221 0.250 0.125
B1 0.000 0.000 0.500
H1 0.000 0.000 0.000
```

Size of the total moment   0.000 μB per formula unit
Raw total energy   -2.07 eV/atom
V   268.25 Å³ per cell

=====

Q: Number 3 is which compound?
A: Cd2BH

=====

Q: Number 2 is which compound?
A: CdBH2